Entry 1:
Below is an optimized crystal structure of Rb4Hg2H, with properties calculated at the PBE level.

Unit cell a=10.425 b=10.425 c=10.425 alpha=148.30 beta=148.30 gamma=45.44
Positions (direct):
Rb (0.000, 0.500, 0.500)
Rb (0.174, 0.174, 0.000)
Rb (0.500, 0.000, 0.500)
Rb (0.826, 0.826, 0.000)
Hg (0.369, 0.369, 0.000)
Hg (0.631, 0.631, 0.000)
H (0.000, 0.000, 0.000)

- VASP energy: -1.226 eV/atom
- Symmetry: I4/mmm
- Crystal system: tetragonal
- Volume: 44.55 Å³/atom

---

Entry 2:
Below is an optimized crystal structure of Rb6Hg2H, with properties calculated at the PBE level.

Unit cell a=8.241 b=9.520 c=14.333 alpha=90.00 beta=124.24 gamma=90.00
Positions (direct):
Rb (0.136, 0.021, 0.242)
Rb (0.136, 0.479, 0.742)
Rb (0.206, 0.703, 0.052)
Rb (0.206, 0.797, 0.552)
Rb (0.359, 0.163, 0.049)
Rb (0.359, 0.337, 0.549)
Rb (0.641, 0.663, 0.451)
Rb (0.641, 0.837, 0.951)
Rb (0.794, 0.203, 0.448)
Rb (0.794, 0.297, 0.948)
Rb (0.864, 0.521, 0.258)
Rb (0.864, 0.979, 0.758)
Hg (0.293, 0.109, 0.744)
Hg (0.293, 0.391, 0.244)
Hg (0.707, 0.609, 0.756)
Hg (0.707, 0.891, 0.256)
H (0.000, 0.000, 0.000)
H (0.000, 0.500, 0.500)

- VASP energy: -1.185 eV/atom
- Symmetry: P2_1/c
- Crystal system: monoclinic
- Volume: 51.64 Å³/atom

---

Entry 3:
Below is an optimized crystal structure of Rb2HgH10, with properties calculated at the PBE level.

Unit cell a=9.189 b=11.140 c=4.477 alpha=90.00 beta=90.00 gamma=90.00
Positions (direct):
Rb (0.152, 0.234, 0.000)
Rb (0.348, 0.734, 0.000)
Rb (0.652, 0.266, 0.000)
Rb (0.848, 0.766, 0.000)
Hg (0.000, 0.500, 0.500)
Hg (0.500, 0.000, 0.500)
H (0.040, 0.011, 0.500)
H (0.150, 0.802, 0.500)
H (0.203, 0.858, 0.500)
H (0.240, 0.977, 0.087)
H (0.240, 0.977, 0.913)
H (0.260, 0.477, 0.087)
H (0.260, 0.477, 0.913)
H (0.297, 0.358, 0.500)
H (0.350, 0.302, 0.500)
H (0.460, 0.511, 0.500)
H (0.540, 0.489, 0.500)
H (0.650, 0.698, 0.500)
H (0.703, 0.642, 0.500)
H (0.740, 0.523, 0.087)
H (0.740, 0.523, 0.913)
H (0.760, 0.023, 0.087)
H (0.760, 0.023, 0.913)
H (0.797, 0.142, 0.500)
H (0.850, 0.198, 0.500)
H (0.960, 0.989, 0.500)

- VASP energy: -2.742 eV/atom
- Symmetry: Pbam
- Crystal system: orthorhombic
- Volume: 17.63 Å³/atom

---

Entry 4:
Below is an optimized crystal structure of RbHg3H8, with properties calculated at the PBE level.

Unit cell a=5.607 b=5.607 c=7.354 alpha=98.24 beta=98.24 gamma=112.72
Positions (direct):
Rb (0.000, 0.000, 0.000)
Hg (0.069, 0.577, 0.350)
Hg (0.136, 0.136, 0.548)
Hg (0.577, 0.069, 0.350)
H (0.427, 0.930, 0.830)
H (0.456, 0.456, 0.931)
H (0.464, 0.938, 0.936)
H (0.505, 0.505, 0.038)
H (0.601, 0.601, 0.659)
H (0.710, 0.710, 0.629)
H (0.930, 0.427, 0.830)
H (0.938, 0.464, 0.936)

- VASP energy: -2.428 eV/atom
- Symmetry: Cm
- Crystal system: monoclinic
- Volume: 17.16 Å³/atom

---

Entry 5:
Below is an optimized crystal structure of RbHg3H3, with properties calculated at the PBE level.

Unit cell a=6.787 b=6.787 c=6.787 alpha=78.49 beta=78.49 gamma=78.49
Positions (direct):
Rb (0.165, 0.165, 0.165)
Rb (0.835, 0.835, 0.835)
Hg (0.237, 0.343, 0.630)
Hg (0.343, 0.630, 0.237)
Hg (0.370, 0.763, 0.657)
Hg (0.630, 0.237, 0.343)
Hg (0.657, 0.370, 0.763)
Hg (0.763, 0.657, 0.370)
H (0.039, 0.612, 0.238)
H (0.238, 0.039, 0.612)
H (0.388, 0.762, 0.961)
H (0.612, 0.238, 0.039)
H (0.762, 0.961, 0.388)
H (0.961, 0.388, 0.762)

- VASP energy: -1.545 eV/atom
- Symmetry: R-3
- Crystal system: trigonal
- Volume: 21.14 Å³/atom

---

Entry 6:
Below is an optimized crystal structure of RbHg4H2, with properties calculated at the PBE level.

Unit cell a=3.724 b=5.311 c=8.693 alpha=103.36 beta=90.08 gamma=90.03
Positions (direct):
Rb (0.000, 0.000, 0.000)
Hg (0.001, 0.772, 0.588)
Hg (0.500, 0.405, 0.772)
Hg (0.500, 0.595, 0.228)
Hg (0.999, 0.228, 0.412)
H (0.499, 0.114, 0.347)
H (0.501, 0.886, 0.653)

- VASP energy: -1.165 eV/atom
- Symmetry: P-1
- Crystal system: triclinic
- Volume: 23.90 Å³/atom

---

- volume of number 1 (Rb4Hg2H)?
  44.55 Å³/atom

---

- Look up the volume of the fifth one.
  21.14 Å³/atom